Entry from the Alexandria database: crystalline ZnGa2S4 at its relaxed geometry (GGA-PBEsol).

Unit cell a=5.150 b=5.150 c=6.448 alpha=113.54 beta=113.54 gamma=90.00
Fractional coordinates of all 7 atoms:
Ga  0.250  0.750  0.500
Ga  0.750  0.250  0.500
S  0.114  0.646  0.760
S  0.886  0.886  0.240
S  0.354  0.354  0.240
S  0.646  0.114  0.760
Zn  0.500  0.500  0.000

Results
The value obtained for the formation energy (no corrections) is -5.20 eV per formula unit. The total energy is -31.00 eV per cell. As for the calculated volume: 141.15 Å³/f.u. Its space group is I-42m, No. 121. As for the density of states at the Fermi level: 0.0 states/eV per cell.